CuPdAu3: optimized geometry, GGA-PBE.

```
CuPdAu3
1.0
4.7190 0.0000 0.0000
0.0000 4.7190 0.0000
0.0000 0.0000 4.7190
Au Cu Pd
3 1 1
Direct
0.0000 0.5000 0.0000
0.0000 0.0000 0.5000
0.5000 0.0000 0.0000
0.0000 0.0000 0.0000
0.5000 0.5000 0.5000
```

## Properties
- energy relative to the lowest polymorph listed for this composition (eV/atom) = 0.6280
- ρ (g/cm³) = 12.0
- final energy (eV for the cell shown) = -15.8
- formation energy from the elements (eV per atom) = 0.672
- DOS(E_F) (states/eV/atom) = 0.347

=====

Cu2Pd3Au2: optimized geometry, GGA-PBE.

```
Cu2Pd3Au2
1.0
-3.2765 -2.3742 0.9157
-0.3079 -1.7371 -5.6053
8.8931 -4.6537 0.9537
Cu Pd Au
4 6 4
Direct
0.1088 0.3943 0.1085
0.1088 0.1057 0.6085
0.8912 0.8943 0.3915
0.8912 0.6057 0.8915
0.0000 0.5000 0.5000
0.0000 0.0000 0.0000
0.3926 0.1806 0.3926
0.6074 0.6806 0.1074
0.3926 0.3194 0.8926
0.6074 0.8194 0.6074
0.3197 0.6636 0.3199
0.6803 0.1636 0.1801
0.3197 0.8364 0.8199
0.6803 0.3364 0.6801
```

## Properties
- energy relative to the lowest polymorph listed for this composition (eV/atom) = 0.1284
- ρ (g/cm³) = 12.5
- final energy (eV for the cell shown) = -60.2
- formation energy from the elements (eV per atom) = 0.034
- DOS(E_F) (states/eV/atom) = 0.594